[1]
{
  "formula": "Ca3PuSe4",
  "functional": "PBE",
  "state": "relaxed",
  "mass_density_g_cm3": 5.37,
  "de_polymorph_ev_per_atom": 0.000,
  "lattice": [[4.193, 0.000, 0.000], [0.000, 4.193, 0.000], [0.000, 0.000, 11.953]],
  "species": ["Ca", "Ca", "Ca", "Pu", "Se", "Se", "Se", "Se"],
  "fractional_positions": [[0.000, 0.000, 0.000], [0.500, 0.500, 0.249], [0.500, 0.500, 0.751], [0.000, 0.000, 0.500], [0.000, 0.000, 0.249], [0.000, 0.000, 0.751], [0.500, 0.500, 0.000], [0.500, 0.500, 0.500]]
}

[2]
{
  "formula": "CaPu5Se6",
  "functional": "PBE",
  "state": "relaxed",
  "mass_density_g_cm3": 9.39,
  "total_energy_ev_per_cell": -113.63,
  "lattice": [[3.606, -6.246, 0.000], [3.606, 6.246, 0.000], [-2.404, 0.000, 6.809]],
  "species": ["Ca", "Pu", "Pu", "Pu", "Pu", "Pu", "Se", "Se", "Se", "Se", "Se", "Se"],
  "fractional_positions": [[0.000, 0.000, 0.000], [0.166, 0.834, 0.500], [0.333, 0.667, 0.000], [0.500, 0.500, 0.500], [0.667, 0.333, 0.000], [0.834, 0.166, 0.500], [0.084, 0.419, 0.251], [0.251, 0.251, 0.749], [0.419, 0.084, 0.251], [0.581, 0.916, 0.749], [0.749, 0.749, 0.251], [0.916, 0.581, 0.749]]
}

[3]
{
  "formula": "Ca3SmPu2Se6",
  "functional": "PBE",
  "state": "relaxed",
  "mass_density_g_cm3": 6.55,
  "total_energy_ev_per_cell": -81.68,
  "lattice": [[3.615, -6.261, 0.000], [3.615, 6.261, 0.000], [-2.410, 0.000, 6.897]],
  "species": ["Ca", "Ca", "Ca", "Sm", "Pu", "Pu", "Se", "Se", "Se", "Se", "Se", "Se"],
  "fractional_positions": [[0.000, 0.000, 0.000], [0.333, 0.667, 0.000], [0.667, 0.333, 0.000], [0.500, 0.500, 0.500], [0.167, 0.833, 0.500], [0.833, 0.167, 0.500], [0.083, 0.416, 0.249], [0.250, 0.250, 0.751], [0.416, 0.083, 0.249], [0.584, 0.917, 0.751], [0.750, 0.750, 0.249], [0.917, 0.584, 0.751]]
}

[4]
{
  "formula": "Ca3Sm2PuSe6",
  "functional": "PBE",
  "state": "relaxed",
  "mass_density_g_cm3": 6.07,
  "total_energy_ev_per_cell": -72.79,
  "lattice": [[3.610, -6.256, 0.000], [3.610, 6.256, 0.000], [-2.407, 0.000, 6.900]],
  "species": ["Ca", "Ca", "Ca", "Sm", "Sm", "Pu", "Se", "Se", "Se", "Se", "Se", "Se"],
  "fractional_positions": [[0.000, 0.000, 0.000], [0.333, 0.667, 0.000], [0.667, 0.333, 0.000], [0.167, 0.833, 0.500], [0.833, 0.167, 0.500], [0.500, 0.500, 0.500], [0.083, 0.416, 0.248], [0.250, 0.250, 0.751], [0.416, 0.083, 0.248], [0.584, 0.917, 0.752], [0.750, 0.750, 0.249], [0.917, 0.584, 0.752]]
}